# 1
Below is a geometry-optimized UAuCl6 structure, with properties calculated at the GGA-PBE level.

Unit cell a=7.5257 b=7.6114 c=6.9990 alpha=92.54 beta=115.19 gamma=122.28
Site moments in Bohr magnetons follow the coordinates.
Atoms (fractional coordinates):
Cl  0.1387  0.8675  0.2718  -0.02
Cl  0.5819  0.2878  0.9481  -0.04
Cl  0.8360  0.5632  0.6382  -0.04
Cl  0.1640  0.4368  0.3618  -0.04
Cl  0.4181  0.7122  0.0519  -0.04
Cl  0.8613  0.1325  0.7282  -0.02
Au  0.0000  0.0000  0.0000  -0.01
U  0.0000  0.5000  0.0000  1.18

V = 35.840 Å³/atom
theoretical density = 3.8 Mg/m³
formation energy from raw total energies = -1.26 eV/atom
E = -4.467 eV/atom
symmetry = P-1 (2)


# 2
Below is a geometry-optimized UAu2Cl8 structure, with properties calculated at the GGA-PBE level.

Unit cell a=7.2049 b=7.8052 c=7.8052 alpha=60.42 beta=90.56 gamma=90.56
Site moments in Bohr magnetons follow the coordinates.
Atoms (fractional coordinates):
Cl  0.7186  0.8940  0.8940  -0.03
Cl  0.3909  0.6325  0.6325  -0.10
Cl  0.8601  0.3418  0.8721  -0.04
Cl  0.6091  0.3675  0.3675  -0.10
Cl  0.1399  0.1279  0.6582  -0.04
Cl  0.1399  0.6582  0.1279  -0.04
Cl  0.2814  0.1060  0.1060  -0.03
Cl  0.8601  0.8721  0.3418  -0.04
U  0.0000  0.0000  0.0000  0.74
Au  0.2489  0.7825  0.7825  -0.13
Au  0.7511  0.2175  0.2175  -0.13

Fermi-level density of states = 8.4 states/eV per cell
V = 34.699 Å³/atom
theoretical density = 4.0 Mg/m³
formation energy from raw total energies = -0.89 eV/atom
E = -3.854 eV/atom
symmetry = C2/m (12)


# 3
Below is a geometry-optimized V2AuCl structure, with properties calculated at the GGA-PBE level.

Unit cell a=5.5092 b=5.5092 c=6.9850 alpha=66.77 beta=66.77 gamma=90.00
Site moments in Bohr magnetons follow the coordinates.
Atoms (fractional coordinates):
V  0.8750  0.8377  0.7500  2.06
V  0.1623  0.6250  0.2500  2.06
V  0.5877  0.1250  0.2500  2.06
V  0.3750  0.4123  0.7500  2.06
Au  0.7500  0.2500  0.5000  0.04
Au  0.0000  0.0000  0.0000  0.04
Cl  0.5000  0.5000  0.0000  -0.08
Cl  0.2500  0.7500  0.5000  -0.08

Fermi-level density of states = 9.1 states/eV per cell
V = 21.996 Å³/atom
theoretical density = 6.3 Mg/m³
formation energy from raw total energies = 0.55 eV/atom
E = -5.295 eV/atom
symmetry = I-42d (122)


> Which of these has the highest formation energy from raw total energies?

V2AuCl